4
Lattice="-0.6461 -0.4507 -4.7386 0.9909 -2.8828 -3.7124 -4.1327 -3.0697 -0.6827" Properties=species:S:1:pos:R:3 comment="MgW2Se, optimized geometry, DFT GGA-PBE" formation_energy_uncorrected_mev_per_atom=515 total_energy_ev_per_atom=-7.2309 mass_density_g_cm3=11.213 polymorph_energy_ev_per_fu=1.322 volume_a3_per_atom=17.43 pbc="T T T"
Mg -1.7182 -3.1426 -4.7075
Se -1.2426 -1.8884 -2.4934
W -3.6445 -6.1963 -8.8720
W -2.8644 -4.7807 -6.7614